Entry 1:
Material: Ho4TcHg3
Method: DFT, PBE-GGA
State: relaxed

Cell and atoms, written as extended XYZ:
```
8
Lattice="-1.910 3.027 0.007 -2.576 -1.630 1.874 6.647 4.163 12.762" Properties=species:S:1:pos:R:3 pbc="T T T"
Ho 4.182 2.619 8.029
Tc -2.243 0.698 0.941
Hg 1.081 2.780 7.322
Ho 2.465 1.544 4.733
Ho 5.939 3.719 11.402
Hg 2.807 3.861 10.636
Hg -0.646 1.699 4.008
Ho 0.709 0.444 1.360
```

Values from the calculation:
DFT formation energy, eV per atom: -0.371
Magnetic moment, μB/atom: 0.00
Crystal system: tetragonal
Density of states at the Fermi level, states/eV/atom: 0.943



Entry 2:
Material: Li2ZrAl
Method: DFT, PBE-GGA
State: relaxed

Cell and atoms, written as extended XYZ:
```
4
Lattice="4.895 0.000 0.000 0.000 2.786 -0.010 0.000 0.376 5.401" Properties=species:S:1:pos:R:3 pbc="T T T"
Zr 2.447 0.790 1.348
Li 0.000 3.030 5.311
Al 2.447 2.371 4.043
Li 0.000 1.713 2.776
```

Values from the calculation:
DFT formation energy, eV per atom: -0.017
Magnetic moment, μB/atom: 0.00
Crystal system: monoclinic
Density of states at the Fermi level, states/eV/atom: 0.384



Entry 3:
Material: TbSm2Dy4Ho2
Method: DFT, PBE-GGA
State: relaxed

Cell and atoms, written as extended XYZ:
```
9
Lattice="3.591 0.000 0.000 -1.795 9.305 -0.480 0.000 -3.696 8.801" Properties=species:S:1:pos:R:3 pbc="T T T"
Dy 0.000 6.487 5.422
Dy 0.000 2.211 2.753
Sm 0.000 0.289 5.723
Tb 0.000 0.000 0.000
Ho 0.000 2.512 8.468
Ho 1.795 3.097 -0.147
Sm 1.795 5.319 2.599
Dy 1.795 -0.878 2.900
Dy 1.795 3.398 5.568
```

Values from the calculation:
DFT formation energy, eV per atom: 0.006
Magnetic moment, μB/atom: 0.00
Crystal system: monoclinic
Density of states at the Fermi level, states/eV/atom: 1.289



Entry 4:
Material: Zn2RuW
Method: DFT, PBE-GGA
State: relaxed

Cell and atoms, written as extended XYZ:
```
4
Lattice="9.129 0.011 0.006 8.700 2.763 0.006 8.700 1.354 2.409" Properties=species:S:1:pos:R:3 pbc="T T T"
Ru 13.225 2.058 1.207
W 19.985 3.110 1.824
Zn 0.025 0.004 0.002
Zn 6.560 1.021 0.599
```

Values from the calculation:
Distance to the lowest polymorph of the same formula, eV/atom: 0.070
DFT formation energy, eV per atom: 0.090
Magnetic moment, μB/atom: 0.00
Crystal system: trigonal
Density of states at the Fermi level, states/eV/atom: 0.843



Entry 5:
Material: CuReP2
Method: DFT, PBE-GGA
State: relaxed

Cell and atoms, written as extended XYZ:
```
4
Lattice="-2.278 1.736 0.308 -0.429 -2.620 -1.119 -1.218 -2.876 7.204" Properties=species:S:1:pos:R:3 pbc="T T T"
Cu -2.267 -2.599 4.998
P -0.005 -0.013 0.032
P -0.603 -1.425 3.570
Re -1.658 -1.161 1.396
```

Values from the calculation:
Distance to the lowest polymorph of the same formula, eV/atom: 0.475
DFT formation energy, eV per atom: 0.419
Magnetic moment, μB/atom: 0.00
Crystal system: orthorhombic
Density of states at the Fermi level, states/eV/atom: 0.785



Entry 6:
Material: MoPb4
Method: DFT, PBE-GGA
State: relaxed

Cell and atoms, written as extended XYZ:
```
5
Lattice="-8.728 0.720 2.556 -7.823 4.041 -2.385 7.576 -4.750 -1.806" Properties=species:S:1:pos:R:3 pbc="T T T"
Pb -6.824 1.963 0.070
Pb -4.261 0.836 -2.053
Pb -9.727 2.798 0.100
Pb -4.714 -0.825 0.418
Mo 0.000 0.000 0.000
```

Values from the calculation:
Distance to the lowest polymorph of the same formula, eV/atom: 0.372
DFT formation energy, eV per atom: 0.880
Magnetic moment, μB/atom: 0.67
Crystal system: tetragonal
Density of states at the Fermi level, states/eV/atom: 0.669



Entry 7:
Material: HfZnFe2C
Method: DFT, PBE-GGA
State: relaxed

Cell and atoms, written as extended XYZ:
```
5
Lattice="-1.575 -3.844 -0.207 2.697 -0.891 -3.986 3.093 -1.396 2.405" Properties=species:S:1:pos:R:3 pbc="T T T"
C 2.108 -3.065 -0.894
Fe 1.546 -0.698 1.202
Zn 0.000 0.000 0.000
Fe -0.787 -1.922 -0.103
Hf 1.349 -0.445 -1.993
```

Values from the calculation:
DFT formation energy, eV per atom: 2.255
Magnetic moment, μB/atom: 0.02
Crystal system: tetragonal
Density of states at the Fermi level, states/eV/atom: 1.871



Entry 8:
Material: LaPa2CoN5
Method: DFT, PBE-GGA
State: relaxed

Cell and atoms, written as extended XYZ:
```
18
Lattice="-4.698 1.726 -4.254 -4.357 -3.594 3.354 3.293 5.389 3.621" Properties=species:S:1:pos:R:3 pbc="T T T"
N -7.083 -0.772 0.944
N -4.528 -0.934 -0.450
N 1.320 4.292 1.777
Pa -3.927 0.537 -2.284
N 0.000 0.000 0.000
Co -2.796 0.430 3.262
Pa -5.128 -2.406 1.384
N -2.625 1.256 -0.169
Pa -2.238 -0.870 0.351
La -5.145 1.293 1.135
N 0.107 2.140 4.328
Co -2.966 3.091 -0.542
N -3.137 2.265 2.890
N -1.924 4.417 0.339
N -3.838 -0.896 2.382
Pa -6.818 -0.998 -1.251
La -0.617 2.227 1.585
N -5.870 1.380 -1.607
```

Values from the calculation:
Uncorrected formation energy, eV/atom: -1.22
Magnetic moment, μB/atom: 0.22
Crystal system: tetragonal
Density of states at the Fermi level, states/eV/atom: 0.686